This record from Alexandria describes a relaxed structure of Cs3Tl2Cl3F2. The functional is GGA-PBE.

Summary:
ΔE_f (raw): -1.8487 eV/atom
Space-group type: I4/mmm

Unit cell a=4.8967 b=4.8967 c=16.7965 alpha=98.38 beta=98.38 gamma=90.00
Positions (direct):
1 Tl 0.7824 0.7824 0.5648
2 Cs 0.3915 0.3915 0.7829
3 Cl 0.1064 0.1064 0.2127
4 Cl 0.8936 0.8936 0.7873
5 F 0.2500 0.7500 0.5000
6 Tl 0.2176 0.2176 0.4352
7 Cs 0.6085 0.6085 0.2171
8 F 0.7500 0.2500 0.5000
9 Cs 0.0000 0.0000 0.0000
10 Cl 0.5000 0.5000 0.0000



This record from Alexandria describes a relaxed structure of Li2InPH. The functional is GGA-PBE.

Summary:
Space-group type: P4/mmm
E: -16.51 eV for the cell shown

Unit cell a=4.0052 b=4.0052 c=4.5103 alpha=90.00 beta=90.00 gamma=90.00
Positions (direct):
1 H 0.0000 0.0000 0.0000
2 Li 0.5000 0.0000 0.0000
3 Li 0.0000 0.5000 0.0000
4 In 0.0000 0.0000 0.5000
5 P 0.5000 0.5000 0.5000



This record from Alexandria describes a relaxed structure of TbInCo. The functional is GGA-PBE.

Summary:
Formation energy from the elements: -323.2 meV/atom
Space-group type: Pmma

Unit cell a=3.9644 b=7.4672 c=12.4244 alpha=90.00 beta=90.00 gamma=90.00
Last column: magnetic moment on the atom in μB.
Positions (direct):
1 Tb 0.0000 0.2320 0.9553  -0.06
2 Tb 0.0000 0.8582 0.7500  -0.07
3 In 0.5000 0.4244 0.3768  -0.01
4 In 0.5000 0.1955 0.7500  -0.01
5 Co 0.5000 0.9487 0.5856  0.43
6 In 0.5000 0.5756 0.8768  -0.01
7 Co 0.5000 0.0513 0.0856  0.43
8 In 0.5000 0.8045 0.2500  -0.01
9 Tb 0.0000 0.7680 0.0447  -0.06
10 Tb 0.0000 0.2320 0.5447  -0.06
11 Co 0.5000 0.0513 0.4144  0.43
12 Tb 0.0000 0.7680 0.4553  -0.06
13 Tb 0.0000 0.1418 0.2500  -0.07
14 Co 0.0000 0.4446 0.7500  -0.22
15 In 0.5000 0.4244 0.1232  -0.01
16 Co 0.5000 0.9487 0.9144  0.43
17 Co 0.0000 0.5554 0.2500  -0.22
18 In 0.5000 0.5756 0.6232  -0.01



This record from Alexandria describes a relaxed structure of SmDyCCl. The functional is GGA-PBE.

Summary:
ΔE_f (raw): -1.0678 eV/atom
Space-group type: R3m

Unit cell a=3.6683 b=3.6684 c=7.3123 alpha=90.00 beta=104.52 gamma=120.00
Positions (direct):
1 Cl 0.9612 0.3787 0.3549
2 C 0.3114 0.5536 0.8803
3 Sm 0.5102 0.1530 0.6785
4 Dy 0.0951 0.9455 0.0559



Q: What is the formula in the first record?
A: Cs3Tl2Cl3F2



Q: Number 1 is which compound?
A: Cs3Tl2Cl3F2